{
  "formula": "TaAlCo2F",
  "functional": "PBE with a Hubbard U",
  "state": "optimized geometry",
  "lattice_angstrom": [[4.264, 0.000, 0.000], [0.000, 4.982, 0.000], [0.000, 0.000, 4.264]],
  "species": ["Co", "Co", "Al", "Ta", "F"],
  "fractional_positions": [[0.000, 0.000, 0.500], [0.500, 0.000, 0.000], [0.000, 0.000, 0.000], [0.000, 0.500, 0.000], [0.500, 0.500, 0.500]],
  "rho_g_cm3": 6.32,
  "sg": "P4/mmm, No. 123",
  "final_energy_ev_per_cell": -21.9
}